# CdTc

Crystalline CdTc at its relaxed geometry (PBE-GGA, the Alexandria database).

```
CdTc
1.0
2.738 0.000 0.000
0.000 2.738 0.000
0.000 0.000 4.579
Cd Tc
1 1
direct
0.000 0.000 0.000 Cd
0.500 0.500 0.500 Tc
```

Properties
total energy: -10.11 eV for the cell shown
total magnetization: 0.033 Bohr magnetons per cell
Fermi-level density of states: 2.4 states/eV per cell
energy of formation: 583.4 meV/atom
space-group type: P4/mmm (123)
ΔE to the lowest computed polymorph: 0.471 eV/atom
calculated density: 10.18 g/cm³